No. 1
Computed, not measured: crystalline CeTm8Ir6 at its relaxed geometry at the PBE level of DFT.

For the energy of formation from the pure elements, the calculation gives -0.848 eV/atom. The total magnetization comes out at 0.0 μB per formula unit. The final energy comes out at -7.173 eV per atom. The value obtained for the density of states at the Fermi level is 24.27 states/eV per cell.

Unit cell a=8.1749 b=8.1749 c=17.8943 alpha=90.00 beta=90.00 gamma=120.00
Last column: nearest neighbours and their distance in Å.
Space group R-3 (No. 148, hexagonal axes)
Asymmetric unit:
Ce1 0.0000 0.0000 0.0000 (multiplicity 3)  6 Ir 2.85
Tm1 0.0000 0.0000 0.3375 (multiplicity 6)  6 Ir 2.90-2.97
Tm2 0.0082 0.3248 0.2202 (multiplicity 18)  5 Ir 2.87-3.03
Ir1 0.0017 0.3272 0.0558 (multiplicity 18)  1 Ce 2.85, 7 Tm 2.87-3.03

=====

No. 2
Computed, not measured: crystalline Ba6Sb2PtI3 at its relaxed geometry at the PBE level of DFT.

The total magnetization comes out at 1.0 μB per formula unit. For the uncorrected formation energy, the calculation gives -29.534 kcal/mol of atoms. The final energy comes out at -3.820 eV per atom. The value obtained for the density of states at the Fermi level is 9.63 states/eV per cell.

Unit cell a=8.5571 b=14.7712 c=8.9827 alpha=90.00 beta=108.76 gamma=90.00
Last column: nearest neighbours and their distance in Å.
Space group C2/m (No. 12)
Asymmetric unit:
Ba1 0.2269 0.1575 0.2101 (multiplicity 8)  1 Pt 3.22, 2 Sb 3.44-3.45
Ba2 0.2460 0.0000 0.7825 (multiplicity 4)  1 Pt 3.30, 2 Sb 3.43
Sb1 0.0000 0.3345 0.0000 (multiplicity 4)  6 Ba 3.43-3.45
Pt1 0.0000 0.0000 0.0000 (multiplicity 2)  6 Ba 3.22-3.30
I1 0.0000 0.1743 0.5000 (multiplicity 4)  6 Ba 3.72-3.81
I2 0.0000 0.5000 0.5000 (multiplicity 2)  6 Ba 3.71-3.84

=====

No. 3
Computed, not measured: crystalline Cd2TeCl at its relaxed geometry at the PBE level of DFT.

Its energy above the most stable polymorph in this dataset is 90 meV/atom. The total magnetization comes out at 0.0 μB per formula unit. For the uncorrected formation energy, the calculation gives -8.699 kcal/mol of atoms. The final energy comes out at -2.082 eV per atom. The value obtained for the density of states at the Fermi level is 3.28 states/eV per cell.

Unit cell a=6.4332 b=6.4332 c=13.8941 alpha=90.00 beta=90.00 gamma=90.00
Last column: nearest neighbours and their distance in Å.
Space group I-42d (No. 122)
Asymmetric unit:
Cd1 0.2432 0.2500 0.1250 (multiplicity 8)  2 Cl 2.84, 2 Te 2.89
Te1 0.0000 0.0000 0.5000 (multiplicity 4)  4 Cd 2.89
Cl1 0.0000 0.0000 0.0000 (multiplicity 4)  4 Cd 2.84

=====

No. 4
Computed, not measured: crystalline Dy2GaNi9 at its relaxed geometry at the PBE level of DFT.

For the energy of formation from the pure elements, the calculation gives -0.232 eV/atom. The total magnetization comes out at 1.2 μB per formula unit. The final energy comes out at -5.587 eV per atom. The value obtained for the density of states at the Fermi level is 38.83 states/eV per cell.

Unit cell a=4.8841 b=4.8841 c=24.1950 alpha=90.00 beta=90.00 gamma=120.00
Last column: nearest neighbours and their distance in Å.
Space group R-3m (No. 166, hexagonal axes)
Asymmetric unit:
Dy1 0.0000 0.0000 0.1351 (multiplicity 6)  9 Ni 2.76-2.92
Ga1 0.0000 0.0000 0.0000 (multiplicity 3)  18 Ni 2.82-3.14
Ni1 0.0000 0.0000 0.3331 (multiplicity 6)  6 Ni 2.42-2.44
Ni2 0.0000 0.0000 0.5000 (multiplicity 3)  6 Ni 2.49
Ni3 0.0013 0.5007 0.9181 (multiplicity 18)  7 Ni 2.42-2.49

=====

No. 5
Computed, not measured: crystalline RbInO2 at its relaxed geometry at the PBE level of DFT.

The total magnetization comes out at 0.0 μB per formula unit. For the uncorrected formation energy, the calculation gives -28.985 kcal/mol of atoms. The final energy comes out at -4.663 eV per atom. The value obtained for the density of states at the Fermi level is 0.00 states/eV per cell.

Unit cell a=4.1509 b=19.1701 c=4.3832 alpha=90.00 beta=90.00 gamma=90.00
Last column: nearest neighbours and their distance in Å.
Space group Cmcm (No. 63)
Asymmetric unit:
Rb1 0.0000 0.1850 0.2500 (multiplicity 4)  5 O 2.83-3.04
In1 0.0000 0.4359 0.2500 (multiplicity 4)  2 O 1.98-2.08
O1 0.0000 0.3328 0.2500 (multiplicity 4)  1 In 1.98
O2 0.0000 0.4554 0.7500 (multiplicity 4)  3 In 2.08-2.22

=====

No. 6
Computed, not measured: crystalline ZrReMo3 at its relaxed geometry at the PBE level of DFT.

Its energy above the most stable polymorph in this dataset is 0 meV/atom. For the energy of formation from the pure elements, the calculation gives 1.263 eV/atom. The total magnetization comes out at 0.0 μB per formula unit. The final energy comes out at -9.435 eV per atom. The value obtained for the density of states at the Fermi level is 10.04 states/eV per cell.

Unit cell a=4.7394 b=4.7394 c=4.7394 alpha=90.00 beta=90.00 gamma=90.00
Last column: nearest neighbours and their distance in Å.
Space group Pm-3m (No. 221)
Asymmetric unit:
Zr1 0.0000 0.0000 0.0000 (multiplicity 1)  12 Mo 3.35
Re1 0.5000 0.5000 0.5000 (multiplicity 1)  6 Mo 2.37
Mo1 0.0000 0.5000 0.5000 (multiplicity 3)  2 Re 2.37

=====

No. 7
Computed, not measured: crystalline Na2Ca3SnO6 at its relaxed geometry at the PBE level of DFT.

The total magnetization comes out at 0.0 μB per formula unit. For the uncorrected formation energy, the calculation gives -52.928 kcal/mol of atoms. The final energy comes out at -5.828 eV per atom. The value obtained for the density of states at the Fermi level is 0.00 states/eV per cell.

Unit cell a=5.9101 b=10.1462 c=5.6995 alpha=90.00 beta=110.75 gamma=90.00
Last column: nearest neighbours and their distance in Å.
Space group C2/m (No. 12)
Asymmetric unit:
Na1 0.0000 0.1663 0.0000 (multiplicity 4)  6 O 2.43-2.47
Ca1 0.0000 0.0000 0.5000 (multiplicity 2)  4 O 2.30
Ca2 0.0000 0.3288 0.5000 (multiplicity 4)  6 O 2.32-2.50
Sn1 0.0000 0.5000 0.0000 (multiplicity 2)  6 O 2.14-2.19
O1 0.2136 0.5000 0.7643 (multiplicity 4)  1 Sn 2.14, 2 Ca 2.35
O2 0.2313 0.3497 0.2467 (multiplicity 8)  1 Sn 2.19, 2 Ca 2.30-2.32, 1 Na 2.44

=====

No. 8
Computed, not measured: crystalline Rb3WBr at its relaxed geometry at the PBE level of DFT.

Its energy above the most stable polymorph in this dataset is 0 meV/atom. The total magnetization comes out at 5.9 μB per formula unit. For the uncorrected formation energy, the calculation gives 14.678 kcal/mol of atoms. The final energy comes out at -2.869 eV per atom. The value obtained for the density of states at the Fermi level is 2.21 states/eV per cell.

Unit cell a=6.5293 b=6.5293 c=6.5293 alpha=90.00 beta=90.00 gamma=90.00
Last column: nearest neighbours and their distance in Å.
Space group Pm-3m (No. 221)
Asymmetric unit:
Rb1 0.0000 0.0000 0.5000 (multiplicity 3)  2 Br 3.26
W1 0.5000 0.5000 0.5000 (multiplicity 1)  12 Rb 4.62
Br1 0.0000 0.0000 0.0000 (multiplicity 1)  6 Rb 3.26

=====

No. 9
Computed, not measured: crystalline LiPaSO2 at its relaxed geometry at the PBE level of DFT.

The total magnetization comes out at 0.0 μB per formula unit. For the uncorrected formation energy, the calculation gives -59.205 kcal/mol of atoms. The final energy comes out at -7.658 eV per atom.

Unit cell a=3.7513 b=3.7513 c=12.0982 alpha=90.00 beta=90.00 gamma=90.00
Last column: nearest neighbours and their distance in Å.
Space group I4mm (No. 107)
Asymmetric unit:
Li1 0.0000 0.0000 0.0000 (multiplicity 2)  4 O 2.03
Pa1 0.0000 0.0000 0.3481 (multiplicity 2)  4 O 2.16
S1 0.0000 0.0000 0.7275 (multiplicity 2)  4 Pa 3.03, 4 O 3.15, 1 Li 3.30
O1 0.0000 0.5000 0.4366 (multiplicity 4)  2 Li 2.03, 2 Pa 2.16

=====

No. 10
Computed, not measured: crystalline Li2PaV3N6 at its relaxed geometry at the PBE level of DFT.

The total magnetization comes out at 0.0 μB per formula unit. For the uncorrected formation energy, the calculation gives -25.705 kcal/mol of atoms. The final energy comes out at -8.667 eV per atom. The value obtained for the density of states at the Fermi level is 10.12 states/eV per cell.

Unit cell a=5.1135 b=8.9610 c=5.4382 alpha=90.00 beta=106.39 gamma=90.00
Last column: nearest neighbours and their distance in Å.
Space group C2/m (No. 12)
Asymmetric unit:
Li1 0.0000 0.1652 0.0000 (multiplicity 4)  6 N 2.20-2.27
Pa1 0.0000 0.5000 0.0000 (multiplicity 2)  6 N 2.21-2.29
V1 0.0000 0.0000 0.5000 (multiplicity 2)  6 N 2.02-2.10
V2 0.0000 0.3118 0.5000 (multiplicity 4)  4 N 1.94-2.04
N1 0.2391 0.1694 0.7222 (multiplicity 8)  3 V 1.94-2.10
N2 0.2393 0.5000 0.7187 (multiplicity 4)  3 V 2.02-2.22, 1 Pa 2.21

=====

No. 11
Computed, not measured: crystalline Rb2Cd3Sn6 at its relaxed geometry at the PBE level of DFT.

For the energy of formation from the pure elements, the calculation gives -0.067 eV/atom. The total magnetization comes out at 0.0 μB per formula unit. The final energy comes out at -2.676 eV per atom. The value obtained for the density of states at the Fermi level is 4.09 states/eV per cell.

Unit cell a=8.9432 b=8.9432 c=5.1394 alpha=90.00 beta=90.00 gamma=120.00
Last column: nearest neighbours and their distance in Å.
Space group P-62m (No. 189)
Asymmetric unit:
Rb1 0.3333 0.6667 0.0000 (multiplicity 2)  9 Sn 3.74-4.15, 6 Cd 3.78
Cd1 0.0000 0.3891 0.5000 (multiplicity 3)  5 Sn 2.97-3.11
Sn1 0.0000 0.1967 0.0000 (multiplicity 3)  6 Sn 3.05-3.39, 2 Cd 3.09
Sn2 0.0000 0.7216 0.5000 (multiplicity 3)  3 Cd 2.97-3.11

=====

No. 12
Computed, not measured: crystalline Pu3Ta5Al12 at its relaxed geometry at the PBE level of DFT.

For the energy of formation from the pure elements, the calculation gives 1.092 eV/atom. The total magnetization comes out at 18.1 μB per formula unit. The final energy comes out at -6.267 eV per atom. The value obtained for the density of states at the Fermi level is 363.91 states/eV per cell.

Unit cell a=15.9431 b=15.9431 c=15.9431 alpha=90.00 beta=90.00 gamma=90.00
Last column: nearest neighbours and their distance in Å.
Space group Ia-3d (No. 230)
Asymmetric unit:
Pu1 0.0000 0.2500 0.1250 (multiplicity 24)  8 Al 2.89-2.95
Ta1 0.0000 0.0000 0.0000 (multiplicity 16)  6 Al 2.63
Ta2 0.0000 0.2500 0.3750 (multiplicity 24)  4 Al 2.66
Al1 0.0130 0.0706 0.6485 (multiplicity 96)  2 Ta 2.63-2.66, 1 Pu 2.89